Here is an optimized crystal structure of Cu2RuRh2 from Alexandria. Energies are from PBE-GGA.

Geometry as POSCAR:
```
Cu2RuRh2
1.0
3.610 0.000 0.000
0.000 3.610 0.000
1.805 1.805 5.749
Ru Rh Cu
1 2 2
Cartesian
0.000 0.000 0.000
3.610 1.805 2.875
1.805 3.610 2.875
1.805 1.805 1.115
3.610 3.610 4.635
```

## Properties
offset from the most stable computed form	338	meV per atom
ΔE_f	0.710	eV/atom
space-group type	I4/mmm (139)

***

Here is an optimized crystal structure of CuRuRh from Alexandria. Energies are from PBE-GGA.

Geometry as POSCAR:
```
CuRuRh
1.0
0.127 0.879 -4.560
-1.272 -1.423 -1.897
-1.678 7.796 22.013
Ru Rh Cu
2 2 2
Cartesian
-1.304 4.485 9.924
-1.519 2.768 5.631
-1.604 0.950 1.323
-1.219 6.303 14.232
-2.347 6.655 16.635
-0.476 0.598 -1.080
```

## Properties
offset from the most stable computed form	60	meV per atom
ΔE_f	0.087	eV/atom
space-group type	P2_1/m (11)

***

Here is an optimized crystal structure of Cu2RuRh from Alexandria. Energies are from PBE-GGA.

Geometry as POSCAR:
```
Cu2RuRh
1.0
-0.770 -2.602 -0.161
2.139 -0.727 1.511
-3.907 0.790 5.911
Ru Rh Cu
1 1 2
Cartesian
-2.249 -1.071 5.113
-1.953 0.395 2.955
-0.039 0.008 0.060
-0.250 -1.475 2.089
```

## Properties
offset from the most stable computed form	0	meV per atom
ΔE_f	0.088	eV/atom
space-group type	P4mm (99)

***

Here is an optimized crystal structure of Cu2RuRh from Alexandria. Energies are from PBE-GGA.

Geometry as POSCAR:
```
Cu2RuRh
1.0
4.230 0.000 0.000
2.115 3.663 0.000
2.115 1.221 3.454
Cu Rh Ru
2 1 1
Cartesian
0.000 0.000 0.000
6.345 3.663 2.590
4.230 2.442 1.727
2.115 1.221 0.863
```

## Properties
offset from the most stable computed form	183	meV per atom
ΔE_f	0.271	eV/atom
space-group type	F-43m (216)

***

Here is an optimized crystal structure of Cu2RuRh from Alexandria. Energies are from PBE-GGA.

Geometry as POSCAR:
```
Cu2RuRh
1.0
2.692 0.000 0.000
0.000 4.489 0.000
0.000 0.000 4.464
Cu Rh Ru
2 1 1
Cartesian
0.000 0.000 0.000
1.346 2.245 0.000
1.346 0.000 2.232
0.000 2.245 2.232
```

## Properties
offset from the most stable computed form	176	meV per atom
ΔE_f	0.264	eV/atom
space-group type	Pmmm (47)

***

Here is an optimized crystal structure of Cu2RuRh2 from Alexandria. Energies are from PBE-GGA.

Geometry as POSCAR:
```
Cu2RuRh2
1.0
-5.335 3.859 -2.287
-4.144 -2.881 4.807
0.695 2.039 1.821
Ru Rh Cu
2 4 4
Cartesian
0.000 0.000 0.000
-4.740 0.489 1.260
-3.388 -0.249 3.756
-6.673 1.251 3.329
-5.396 3.267 0.585
-2.111 1.766 1.012
-5.643 -1.072 3.353
-7.260 1.587 0.991
-3.837 2.050 -0.833
-2.219 -0.609 1.529
```

## Properties
offset from the most stable computed form	0	meV per atom
ΔE_f	0.371	eV/atom
space-group type	P4/mbm (127)

***

no.,total energy (eV per atom),N(E_F) (states/eV/cell)
1,-5.72,5.4
2,-6.82,7.0
3,-6.12,3.3
4,-5.93,4.4
5,-5.94,4.5
6,-6.06,15.4